[1]
NdInTeO6: relaxed, PBE.

Calculated total energy: -6.394 eV per atom
Symmetry: No. 163
E_form (uncorrected): -1905 meV per atom

a b c (Å): 5.4501 5.4501 10.0814
angles (deg): 90.00 90.00 120.00
Fractional coordinates of all 18 atoms:
Nd (0.0000, 0.0000, 0.0000)
Nd (0.0000, 0.0000, 0.5000)
In (0.3333, 0.6667, 0.2500)
In (0.6667, 0.3333, 0.7500)
Te (0.3333, 0.6667, 0.7500)
Te (0.6667, 0.3333, 0.2500)
O (0.0323, 0.3766, 0.6396)
O (0.0323, 0.6557, 0.8604)
O (0.3443, 0.3766, 0.8604)
O (0.3443, 0.9677, 0.6396)
O (0.3766, 0.0323, 0.1396)
O (0.3766, 0.3443, 0.3604)
O (0.6234, 0.6557, 0.6396)
O (0.6234, 0.9677, 0.8604)
O (0.6557, 0.0323, 0.3604)
O (0.6557, 0.6234, 0.1396)
O (0.9677, 0.3443, 0.1396)
O (0.9677, 0.6234, 0.3604)

=====

[2]
Mn2FeAu: relaxed, PBE.

Calculated total energy: -7.232 eV per atom
E above lowest polymorph: 0.147 eV/atom
ΔH_f (0 K): 0.288 eV/atom
Symmetry: No. 47

a b c (Å): 2.6571 3.6085 5.3486
angles (deg): 90.00 90.00 90.00
Fractional coordinates of all 4 atoms:
Mn (0.0000, 0.0000, 0.1965)
Mn (0.0000, 0.0000, 0.8035)
Fe (0.5000, 0.5000, 0.0000)
Au (0.5000, 0.5000, 0.5000)

=====

[3]
Ac3BeSi3: relaxed, PBE.

Calculated total energy: -5.132 eV per atom
Symmetry: No. 44
E_form (uncorrected): -515 meV per atom

a b c (Å): 9.9259 9.9259 9.9259
angles (deg): 156.38 152.71 36.39
Fractional coordinates of all 7 atoms:
Ac (0.0000, 0.0000, 0.0000)
Ac (0.1830, 0.6830, 0.5000)
Ac (0.3652, 0.3652, 0.0000)
Be (0.6174, 0.1174, 0.5000)
Si (0.5563, 0.5563, 0.0000)
Si (0.7392, 0.2392, 0.5000)
Si (0.8153, 0.8153, 0.0000)

=====

Which formula does entry 2 have? Mn2FeAu

=====

Which formula does entry 1 have? NdInTeO6

=====

Please write out number 2 again, unchanged.
Mn2FeAu: relaxed, PBE.

Calculated total energy: -7.232 eV per atom
E above lowest polymorph: 0.147 eV/atom
ΔH_f (0 K): 0.288 eV/atom
Symmetry: No. 47

a b c (Å): 2.6571 3.6085 5.3486
angles (deg): 90.00 90.00 90.00
Fractional coordinates of all 4 atoms:
Mn (0.0000, 0.0000, 0.1965)
Mn (0.0000, 0.0000, 0.8035)
Fe (0.5000, 0.5000, 0.0000)
Au (0.5000, 0.5000, 0.5000)

=====

Number 3 is which compound? Ac3BeSi3